(1)
PBE Li6Al2Pd, relaxed; energy of formation = -0.2268 eV/atom; space group = C2/m
1.0
3.714 -6.958 0.000
3.714 6.958 0.000
-0.318 0.000 2.862
Li Al Pd
6 2 1
Direct
0.010 0.660 0.632
0.196 0.196 0.893
0.340 0.990 0.368
0.660 0.010 0.632
0.804 0.804 0.107
0.990 0.340 0.368
0.346 0.654 0.000
0.654 0.346 0.000
0.500 0.500 0.500

***

(2)
PBE Hf6Al2S, relaxed; space group = P2_1/c; E_tot = -8.37 eV per atom
1.0
5.730 0.000 0.000
0.000 7.199 0.000
-5.707 0.000 8.839
Hf Al S
12 4 2
Direct
0.092 0.175 0.450
0.092 0.325 0.950
0.320 0.684 0.453
0.320 0.816 0.953
0.397 0.026 0.277
0.397 0.474 0.777
0.603 0.526 0.223
0.603 0.974 0.723
0.680 0.184 0.047
0.680 0.316 0.547
0.908 0.675 0.050
0.908 0.825 0.550
0.168 0.117 0.750
0.168 0.383 0.250
0.832 0.617 0.750
0.832 0.883 0.250
0.000 0.000 0.000
0.000 0.500 0.500

***

(3)
PBE CaGdTm, relaxed; energy of formation = 0.0779 eV/atom; space group = P3m1; distance to the lowest polymorph of the same formula = 5 meV per atom
1.0
3.617 0.000 0.000
-1.809 3.133 0.000
0.000 0.000 9.057
Ca Gd Tm
1 1 1
Direct
0.000 0.000 0.000
0.667 0.333 0.354
0.333 0.667 0.658

***

(4)
PBE ScNi2WI, relaxed; space group = P4/mmm; distance to the lowest polymorph of the same formula = 204 meV per atom
1.0
4.565 0.000 0.000
0.000 4.565 0.000
0.000 0.000 5.200
Sc Ni W I
1 2 1 1
Direct
0.000 0.000 0.000
0.000 0.500 0.500
0.500 0.000 0.500
0.500 0.500 0.000
0.000 0.000 0.500

***

(5)
PBE Li6CdSi, relaxed; space group = Amm2; distance to the lowest polymorph of the same formula = 39 meV per atom
1.0
4.449 0.000 0.000
0.000 3.241 4.512
0.000 -3.241 4.512
Li Cd Si
6 1 1
Direct
0.000 0.000 0.000
0.000 0.499 0.975
0.000 0.975 0.499
0.500 0.224 0.726
0.500 0.688 0.688
0.500 0.726 0.224
0.500 0.239 0.239
0.000 0.480 0.480

***

(6)
PBE AcTh2Zn9, relaxed; energy of formation = -0.2448 eV/atom; space group = R-3m
1.0
2.803 1.618 8.861
-2.803 1.618 8.861
0.000 -3.236 8.861
Ac Th Zn
1 2 9
Direct
0.000 0.000 0.000
0.145 0.145 0.145
0.855 0.855 0.855
0.075 0.586 0.586
0.336 0.336 0.336
0.414 0.414 0.925
0.414 0.925 0.414
0.500 0.500 0.500
0.586 0.075 0.586
0.586 0.586 0.075
0.664 0.664 0.664
0.925 0.414 0.414